## Li7SnGe5 (PBE)

Data for crystalline Li7SnGe5 at its relaxed geometry.

Summary:
ρ	3.69	Mg/m³
D(E_F)	0.470	states/eV/atom
calculated formation energy	-189	meV/atom

Lattice parameters (Å, degrees): 5.686 7.079 7.079 80.62 66.32 66.32
Positions (direct):
Li1 0.528 0.798 0.146
Li2 0.609 0.391 0.391
Li3 0.261 0.239 0.239
Li4 0.252 0.748 0.748
Li5 0.528 0.146 0.798
Li6 0.015 0.300 0.670
Li7 0.015 0.670 0.300
Ge1 0.787 0.713 0.713
Ge2 0.019 0.996 0.469
Ge3 0.019 0.469 0.996
Ge4 0.516 0.996 0.469
Ge5 0.516 0.469 0.996
Sn1 0.935 0.065 0.065

=====

## CeBeZn2Pd4 (PBE)

Data for crystalline CeBeZn2Pd4 at its relaxed geometry.

Summary:
ρ	8.97	Mg/m³
D(E_F)	0.907	states/eV/atom
calculated formation energy	-551	meV/atom

Lattice parameters (Å, degrees): 4.315 4.315 8.477 75.25 75.25 60.00
Positions (direct):
Zn1 0.240 0.240 0.279
Zn2 0.760 0.760 0.721
Pd1 0.866 0.866 0.401
Pd2 0.134 0.134 0.599
Pd3 0.596 0.596 0.212
Pd4 0.404 0.404 0.788
Ce1 0.000 0.000 0.000
Be1 0.500 0.500 0.500

=====

Q: What is the formula in the second record?
A: CeBeZn2Pd4